(1)
# BaAl4O7

BaAl4O7 after structural relaxation (PBE-GGA, Alexandria).

- Energy relative to the elements, uncorrected: -3020 meV/atom
- M_tot: 0.000 μB per formula unit

Lattice parameters (Å, degrees): 13.0278 5.2311 4.9807 90.00 90.00 90.00
Closest atoms and distances in Å follow each position.
Space group Pmn2_1 (No. 31)
One atom of each set of equivalent atoms:
Ba (0.0000, 0.1658, 0.0000) x2  5 O 2.66-2.96
Al (0.1194, 0.6782, 0.4679) x4  4 O 1.75-1.83
Al (0.2495, 0.1755, 0.4566) x4  4 O 1.74-1.82
O (0.0000, 0.7868, 0.3546) x2  2 Al 1.75
O (0.1331, 0.7435, 0.8116) x4  2 Al 1.74-1.75
O (0.1382, 0.3528, 0.3971) x4  2 Al 1.75-1.76
O (0.2205, 0.8665, 0.3080) x4  3 Al 1.81-1.83

(2)
# BaAl5O9

BaAl5O9 after structural relaxation (PBE-GGA, Alexandria).

- Energy relative to the elements, uncorrected: -2866 meV/atom
- M_tot: 1.126 μB per formula unit

Lattice parameters (Å, degrees): 5.7022 5.7022 13.5027 90.00 90.00 120.00
Closest atoms and distances in Å follow each position.
Space group P6_3/mmc (No. 194)
One atom of each set of equivalent atoms:
Ba (0.3333, 0.6667, 0.2500) x2  6 O 2.79
Al (0.0000, 0.0000, 0.1207) x4  4 O 1.75-1.78
Al (0.0000, 0.5000, 0.0000) x6  6 O 1.87-1.95
O (0.0000, 0.0000, 0.2500) x2  2 Al 1.75
O (0.1718, 0.3435, 0.0803) x12  3 Al 1.78-1.95
O (0.3333, 0.6667, 0.5664) x4  3 Al 1.87

(3)
# BaAlO2

BaAlO2 after structural relaxation (PBE-GGA, Alexandria).

- Energy relative to the elements, uncorrected: -1823 meV/atom
- M_tot: 0.000 μB per formula unit

Lattice parameters (Å, degrees): 3.1109 3.1109 20.9059 90.00 90.00 120.00
Closest atoms and distances in Å follow each position.
Space group R-3m (No. 166, hexagonal axes)
One atom of each set of equivalent atoms:
Ba (0.0000, 0.0000, 0.0000) x3  2 O 2.55
Al (0.0000, 0.0000, 0.5000) x3  6 O 2.02
O (0.0000, 0.0000, 0.1220) x6  3 Al 2.02

(4)
# BaAl4O7

BaAl4O7 after structural relaxation (PBE-GGA, Alexandria).

- Energy relative to the elements, uncorrected: -3018 meV/atom
- M_tot: 0.000 μB per formula unit

Lattice parameters (Å, degrees): 10.4097 13.1865 4.9963 90.00 90.00 90.00
Closest atoms and distances in Å follow each position.
Space group Pnma (No. 62)
One atom of each set of equivalent atoms:
Ba (0.1777, 0.2500, 0.2038) x4  6 O 2.88-3.03
Al (0.0925, 0.6311, 0.2815) x8  4 O 1.75-1.81
Al (0.1574, 0.0016, 0.7913) x8  4 O 1.75-1.80
O (0.0668, 0.1127, 0.8186) x8  2 Al 1.75
O (0.1131, 0.6105, 0.6275) x8  2 Al 1.75-1.76
O (0.1578, 0.7500, 0.2047) x4  2 Al 1.75
O (0.1957, 0.5377, 0.1256) x8  3 Al 1.79-1.81

(5)
# BaAlOsO6

BaAlOsO6 after structural relaxation (PBE-GGA, Alexandria).

- Energy relative to the elements, uncorrected: -2003 meV/atom
- M_tot: 0.997 μB per formula unit

Lattice parameters (Å, degrees): 5.1542 5.1542 5.7499 90.00 90.00 120.00
Closest atoms and distances in Å follow each position.
Space group P312 (No. 149)
One atom of each set of equivalent atoms:
Ba (0.0000, 0.0000, 0.0000) x1  6 O 2.73
Al (0.3333, 0.6667, 0.5000) x1  6 O 1.92
Os (0.6667, 0.3333, 0.5000) x1  6 O 1.91
O (0.4022, 0.0015, 0.6892) x6  1 Os 1.91, 1 Al 1.92

(6)
# BaAl2OsO8

BaAl2OsO8 after structural relaxation (PBE-GGA, Alexandria).

- Energy relative to the elements, uncorrected: -1915 meV/atom
- M_tot: 2.020 μB per formula unit

Lattice parameters (Å, degrees): 4.5469 4.5526 7.4258 92.77 92.42 90.62
Closest atoms and distances in Å follow each position.
Space group P-1 (No. 2)
One atom of each set of equivalent atoms:
Ba (0.0000, 0.0000, 0.0000) x1  6 O 2.63-2.73
Al (0.4955, 0.4945, 0.3191) x2  5 O 1.84-1.88
Os (0.0000, 0.0000, 0.5000) x1  6 O 1.91-1.96
O (0.2024, 0.1989, 0.3202) x2  1 Al 1.88, 1 Os 1.91
O (0.2190, 0.2203, 0.6974) x2  1 Al 1.84, 1 Os 1.96
O (0.3006, 0.6983, 0.5002) x2  2 Al 1.86, 1 Os 1.95
O (0.4237, 0.4201, 0.0699) x2  1 O 1.49

(7)
# BaAl2P2O10

BaAl2P2O10 after structural relaxation (PBE-GGA, Alexandria).

- Energy relative to the elements, uncorrected: -2441 meV/atom
- M_tot: 2.068 μB per formula unit

Lattice parameters (Å, degrees): 4.9917 6.1150 6.7359 110.99 106.96 92.89
Closest atoms and distances in Å follow each position.
Space group P-1 (No. 2)
One atom of each set of equivalent atoms:
Ba (0.0000, 0.0000, 0.0000) x1  10 O 2.91-3.13
Al (0.3163, 0.3577, 0.7353) x2  6 O 1.86-1.94
P (0.3193, 0.8004, 0.5876) x2  4 O 1.54-1.57
O (0.0708, 0.7662, 0.3747) x2  1 P 1.54
O (0.2422, 0.6505, 0.7120) x2  1 P 1.55
O (0.3240, 0.4764, 0.0459) x2  2 Al 1.90-1.94, 1 O 2.07
O (0.3900, 0.0621, 0.7671) x2  1 P 1.57
O (0.4053, 0.2551, 0.4672) x2  1 P 1.55

(8)
# BaAlP2O

BaAlP2O after structural relaxation (PBE-GGA, Alexandria).

- Energy relative to the elements, uncorrected: 862 meV/atom
- Energy above the lowest structure with this stoichiometry: 7.90 eV per formula unit
- M_tot: 3.605 μB per formula unit

Lattice parameters (Å, degrees): 6.0326 6.0326 4.5617 90.00 90.00 90.00
Closest atoms and distances in Å follow each position.
Space group P4/mmm (No. 123)
One atom of each set of equivalent atoms:
Ba (0.0000, 0.0000, 0.0000) x1  2 O 2.28
Al (0.5000, 0.5000, 0.5000) x1  8 P 3.78
P (0.0000, 0.5000, 0.0000) x2  2 Ba 3.02
O (0.0000, 0.0000, 0.5000) x1  2 Ba 2.28

(9)
# BaAlP2O

BaAlP2O after structural relaxation (PBE-GGA, Alexandria).

- Energy relative to the elements, uncorrected: -718 meV/atom
- Energy above the lowest structure with this stoichiometry: 0.00 eV per formula unit
- M_tot: 0.251 μB per formula unit

Lattice parameters (Å, degrees): 5.4372 5.4372 3.4900 90.00 90.00 90.00
Closest atoms and distances in Å follow each position.
Space group P4/mmm (No. 123)
One atom of each set of equivalent atoms:
Ba (0.0000, 0.0000, 0.0000) x1  8 P 3.23, 2 Ba 3.49
Al (0.5000, 0.5000, 0.5000) x1  2 O 1.74
P (0.0000, 0.5000, 0.5000) x2  2 Al 2.72
O (0.5000, 0.5000, 0.0000) x1  2 Al 1.74

(10)
# BaPaAl2O6

BaPaAl2O6 after structural relaxation (PBE-GGA, Alexandria).

- Energy relative to the elements, uncorrected: -2882 meV/atom
- M_tot: 0.773 μB per formula unit

Lattice parameters (Å, degrees): 5.7506 5.7506 17.9170 90.00 90.00 120.00
Closest atoms and distances in Å follow each position.
Space group R-3 (No. 148, hexagonal axes)
One atom of each set of equivalent atoms:
Ba (0.0000, 0.0000, 0.0000) x3  6 O 2.77
Pa (0.0000, 0.0000, 0.5000) x3  6 O 2.27
Al (0.0000, 0.0000, 0.2319) x6  3 O 1.73
O (0.0156, 0.6269, 0.9050) x18  1 Al 1.73

(11)
# BaPaAlO6

BaPaAlO6 after structural relaxation (PBE-GGA, Alexandria).

- Energy relative to the elements, uncorrected: -2504 meV/atom
- M_tot: 2.021 μB per formula unit

Lattice parameters (Å, degrees): 5.6716 5.6716 4.8179 90.00 90.00 120.00
Closest atoms and distances in Å follow each position.
Space group P312 (No. 149)
One atom of each set of equivalent atoms:
Ba (0.0000, 0.0000, 0.0000) x1  6 O 2.67
Pa (0.6667, 0.3333, 0.5000) x1  6 O 2.20
Al (0.3333, 0.6667, 0.0000) x1  6 O 1.95
O (0.0215, 0.4371, 0.2349) x6  1 Al 1.95

(12)
# Ba3PaAl2O8

Ba3PaAl2O8 after structural relaxation (PBE-GGA, Alexandria).

- Energy relative to the elements, uncorrected: -2974 meV/atom
- M_tot: 1.000 μB per formula unit

Lattice parameters (Å, degrees): 5.9774 5.9774 7.6388 90.00 90.00 120.00
Closest atoms and distances in Å follow each position.
Space group P-3m1 (No. 164)
One atom of each set of equivalent atoms:
Ba (0.0000, 0.0000, 0.0000) x1  6 O 3.03
Ba (0.3333, 0.6667, 0.6824) x2  1 O 2.41
Pa (0.0000, 0.0000, 0.5000) x1  6 O 2.27
Al (0.3333, 0.6667, 0.2231) x2  4 O 1.72-1.81
O (0.1738, 0.3476, 0.3197) x6  1 Al 1.81
O (0.3333, 0.6667, 0.9978) x2  1 Al 1.72

The highest energy relative to the elements, uncorrected belongs to which entry? number 8

Look up the M_tot of the tenth one. 0.773 μB per formula unit

The highest M_tot belongs to which entry? number 8

What is the energy relative to the elements, uncorrected in the tenth record? -2882 meV/atom